Entry w
Computed, not measured: BaCu2Br after structural relaxation at the PBE level of DFT.

a = 5.318 Å, b = 5.318 Å, c = 7.502 Å
α = 90.00°, β = 90.00°, γ = 90.00°
Space group I-4m2 (No. 119)
Unique sites:
Ba  0.000  0.000  0.000 [2 per cell]
Cu  0.000  0.000  0.500 [2 per cell]
Cu  0.000  0.500  0.250 [2 per cell]
Br  0.000  0.500  0.750 [2 per cell]

Output
The calculation puts the total magnetic moment at 0.00 μB per atom.


Entry x
Computed, not measured: BaCu2Br after structural relaxation at the PBE level of DFT.

a = 4.403 Å, b = 4.403 Å, c = 5.728 Å
α = 90.00°, β = 90.00°, γ = 90.00°
Space group P4/mmm (No. 123)
Unique sites:
Ba  0.000  0.000  0.000 [1 per cell]
Cu  0.000  0.500  0.500 [2 per cell]
Br  0.500  0.500  0.000 [1 per cell]

Output
The calculation puts the total magnetic moment at 0.00 μB per atom.


Entry y
Computed, not measured: BaCu2Br after structural relaxation at the PBE level of DFT.

a = 3.721 Å, b = 3.721 Å, c = 7.552 Å
α = 90.00°, β = 90.00°, γ = 90.00°
Space group P4mm (No. 99)
Unique sites:
Ba  0.000  0.000  0.000 [1 per cell]
Cu  0.000  0.000  0.620 [1 per cell]
Cu  0.500  0.500  0.658 [1 per cell]
Br  0.500  0.500  0.245 [1 per cell]

Output
The calculation puts the total magnetic moment at 0.00 μB per atom.


Entry z
Computed, not measured: BaCu2Br after structural relaxation at the PBE level of DFT.

a = 11.583 Å, b = 4.508 Å, c = 4.979 Å
α = 90.00°, β = 102.13°, γ = 90.00°
Space group C2/m (No. 12)
Unique sites:
Ba  0.000  0.000  0.000 [2 per cell]
Cu  0.221  0.500  0.946 [4 per cell]
Br  0.000  0.500  0.500 [2 per cell]

Output
The calculation puts the total magnetic moment at 0.00 μB per atom.


Quick one: most stable of them? entry z


Entry w
Computed, not measured: BaCu2Br after structural relaxation at the PBE level of DFT.

a = 4.222 Å, b = 4.592 Å, c = 6.532 Å
α = 90.00°, β = 108.30°, γ = 90.00°
Space group Pm (No. 6)
Unique sites:
Ba  0.000  0.000  0.000 [1 per cell]
Cu  0.315  0.000  0.615 [1 per cell]
Cu  0.350  0.500  0.689 [1 per cell]
Br  0.601  0.500  0.210 [1 per cell]

Output
The calculation puts the total magnetic moment at 0.00 μB per atom.


Entry x
Computed, not measured: BaCu2Br after structural relaxation at the PBE level of DFT.

a = 7.462 Å, b = 7.462 Å, c = 7.462 Å
α = 90.00°, β = 90.00°, γ = 90.00°
Space group Fm-3m (No. 225)
Unique sites:
Ba  0.000  0.000  0.000 [4 per cell]
Cu  0.250  0.250  0.250 [8 per cell]
Br  0.000  0.000  0.500 [4 per cell]

Output
The calculation puts the total magnetic moment at 0.00 μB per atom.


Quick one: most stable of them? entry w


Entry w
Computed, not measured: BaCu2Br after structural relaxation at the PBE level of DFT.

a = 4.379 Å, b = 4.982 Å, c = 4.962 Å
α = 90.00°, β = 90.10°, γ = 90.00°
Space group P2/m (No. 10)
Unique sites:
Ba  0.000  0.000  0.000 [1 per cell]
Cu  0.497  0.500  0.758 [2 per cell]
Br  0.500  0.000  0.500 [1 per cell]

Output
The calculation puts the total magnetic moment at 0.00 μB per atom.


Entry x
Computed, not measured: BaCu2Br after structural relaxation at the PBE level of DFT.

a = 4.7495 Å, b = 4.7495 Å, c = 15.8851 Å
α = 90.00°, β = 90.00°, γ = 120.00°
Space group R-3m (No. 166, hexagonal axes)
Unique sites:
Ba  0.0000  0.0000  0.0000 [3 per cell]
Cu  0.0000  0.0000  0.2064 [6 per cell]
Br  0.0000  0.0000  0.5000 [3 per cell]

Output
The calculation puts the total magnetic moment at 0.00 μB per atom.


Quick one: most stable of them? entry w


Entry w
Computed, not measured: BaCu2Br after structural relaxation at the PBE level of DFT.

a = 8.880 Å, b = 8.880 Å, c = 5.961 Å
α = 90.00°, β = 90.00°, γ = 90.00°
Space group I-42d (No. 122)
Unique sites:
Ba  0.000  0.000  0.000 [4 per cell]
Cu  0.225  0.250  0.625 [8 per cell]
Br  0.000  0.000  0.500 [4 per cell]

Output
The calculation puts the total magnetic moment at 0.00 μB per atom.


Entry x
Computed, not measured: BaCu2Br after structural relaxation at the PBE level of DFT.

a = 7.611 Å, b = 4.397 Å, c = 7.027 Å
α = 90.00°, β = 90.41°, γ = 90.00°
Space group Cm (No. 8)
Unique sites:
Ba  0.000  0.000  0.000 [2 per cell]
Cu  0.164  0.500  0.680 [2 per cell]
Cu  0.331  0.000  0.699 [2 per cell]
Br  0.168  0.500  0.293 [2 per cell]

Output
The calculation puts the total magnetic moment at 0.00 μB per atom.


Quick one: most stable of them? entry x


Entry w
Computed, not measured: BaCuBr after structural relaxation at the PBE level of DFT.

a = 12.904 Å, b = 4.579 Å, c = 7.957 Å
α = 90.00°, β = 90.00°, γ = 90.00°
Space group Amm2 (No. 38)
Unique sites:
Ba  0.153  0.000  0.000 [4 per cell]
Cu  0.000  0.000  0.333 [2 per cell]
Cu  0.500  0.000  0.333 [2 per cell]
Br  0.323  0.000  0.333 [4 per cell]

Output
The calculation puts the total magnetic moment at 0.00 μB per atom.


Entry x
Computed, not measured: BaCuBr after structural relaxation at the PBE level of DFT.

a = 4.236 Å, b = 4.236 Å, c = 10.390 Å
α = 90.00°, β = 90.00°, γ = 90.00°
Space group I4mm (No. 107)
Unique sites:
Ba  0.000  0.000  0.000 [2 per cell]
Cu  0.000  0.000  0.653 [2 per cell]
Br  0.000  0.000  0.331 [2 per cell]

Output
The calculation puts the total magnetic moment at 0.00 μB per atom.


Quick one: most stable of them? entry x


Entry w
Computed, not measured: BaCuBr after structural relaxation at the PBE level of DFT.

a = 7.705 Å, b = 7.705 Å, c = 7.705 Å
α = 90.00°, β = 90.00°, γ = 90.00°
Space group F-43m (No. 216)
Unique sites:
Ba  0.000  0.000  0.000 [4 per cell]
Cu  0.250  0.250  0.250 [4 per cell]
Br  0.250  0.250  0.750 [4 per cell]

Output
The calculation puts the total magnetic moment at 0.00 μB per atom.


Entry x
Computed, not measured: BaCuBr after structural relaxation at the PBE level of DFT.

a = 4.8706 Å, b = 4.8706 Å, c = 5.5291 Å
α = 90.00°, β = 90.00°, γ = 120.00°
Space group P3m1 (No. 156)
Unique sites:
Ba  0.0000  0.0000  0.0000 [1 per cell]
Cu  0.3333  0.6667  0.6980 [1 per cell]
Br  0.6667  0.3333  0.3130 [1 per cell]

Output
The calculation puts the total magnetic moment at 0.00 μB per atom.


Entry y
Computed, not measured: BaCuBr after structural relaxation at the PBE level of DFT.

a = 7.606 Å, b = 7.606 Å, c = 7.606 Å
α = 90.00°, β = 90.00°, γ = 90.00°
Space group F-43m (No. 216)
Unique sites:
Ba  0.000  0.000  0.000 [4 per cell]
Cu  0.000  0.000  0.500 [4 per cell]
Br  0.250  0.250  0.250 [4 per cell]

Output
The calculation puts the total magnetic moment at 0.00 μB per atom.


Quick one: most stable of them? entry w